[1]
The following is a GGA-PBE calculation of SrMo2Cl after structural relaxation, from Alexandria via LeMat-Bulk.

Computed properties:
* E_tot: -23.9 eV per formula unit
* total moment: 0.0 μB per cell
* ΔE_f (raw): 0.326 eV per atom

Unit cell a=3.8137 b=3.8137 c=27.0929 alpha=90.00 beta=90.00 gamma=90.00
Space group I-42d (No. 122)
Inequivalent atoms, fractional coordinates:
Sr 0.0000 0.0000 0.0000 (multiplicity 4)
Mo 0.2050 0.7500 0.1250 (multiplicity 8)
Cl 0.0000 0.0000 0.5000 (multiplicity 4)



[2]
The following is a GGA-PBE calculation of SrMo2Cl after structural relaxation, from Alexandria via LeMat-Bulk.

Computed properties:
* E_tot: -21.8 eV per formula unit
* total moment: 1.5 μB per cell
* ΔE_f (raw): 0.846 eV per atom

Unit cell a=6.8550 b=6.8550 c=6.8550 alpha=90.00 beta=90.00 gamma=90.00
Space group F-43m (No. 216)
Inequivalent atoms, fractional coordinates:
Sr 0.0000 0.0000 0.0000 (multiplicity 4)
Mo 0.0000 0.0000 0.5000 (multiplicity 4)
Mo 0.2500 0.2500 0.7500 (multiplicity 4)
Cl 0.2500 0.2500 0.2500 (multiplicity 4)



[3]
The following is a GGA-PBE calculation of SrMo2Cl after structural relaxation, from Alexandria via LeMat-Bulk.

Computed properties:
* E_tot: -23.4 eV per formula unit
* total moment: 1.4 μB per cell
* ΔE_f (raw): 0.448 eV per atom

Unit cell a=3.3335 b=6.2877 c=9.6494 alpha=90.00 beta=90.00 gamma=90.00
Space group Imm2 (No. 44)
Inequivalent atoms, fractional coordinates:
Sr 0.0000 0.0000 0.0000 (multiplicity 2)
Mo 0.0000 0.0000 0.5184 (multiplicity 2)
Mo 0.0000 0.5000 0.8443 (multiplicity 2)
Cl 0.0000 0.5000 0.2456 (multiplicity 2)



[4]
The following is a GGA-PBE calculation of SrMo3Cl after structural relaxation, from Alexandria via LeMat-Bulk.

Computed properties:
* E_tot: -19.5 eV per formula unit
* total moment: 0.9 μB per cell
* ΔE_f (raw): 3.302 eV per atom

Unit cell a=4.9626 b=4.9626 c=4.9626 alpha=90.00 beta=90.00 gamma=90.00
Space group Pm-3m (No. 221)
Inequivalent atoms, fractional coordinates:
Sr 0.0000 0.0000 0.0000 (multiplicity 1)
Mo 0.0000 0.0000 0.5000 (multiplicity 3)
Cl 0.5000 0.5000 0.5000 (multiplicity 1)



[5]
The following is a GGA-PBE calculation of SrMo2Cl after structural relaxation, from Alexandria via LeMat-Bulk.

Computed properties:
* E_tot: -24.8 eV per formula unit
* total moment: 0.0 μB per cell
* ΔE_f (raw): 0.098 eV per atom

Unit cell a=12.7809 b=3.3855 c=4.4363 alpha=90.00 beta=110.04 gamma=90.00
Space group C2/m (No. 12)
Inequivalent atoms, fractional coordinates:
Sr 0.0000 0.0000 0.0000 (multiplicity 2)
Mo 0.2195 0.5000 0.6447 (multiplicity 4)
Cl 0.0000 0.5000 0.5000 (multiplicity 2)



[6]
The following is a GGA-PBE calculation of SrMoCl2 after structural relaxation, from Alexandria via LeMat-Bulk.

Computed properties:
* E_tot: -17.5 eV per formula unit
* total moment: 4.4 μB per cell
* ΔE_f (raw): -0.311 eV per atom

Unit cell a=4.1708 b=4.1813 c=5.8836 alpha=90.00 beta=90.00 gamma=90.00
Space group Pmm2 (No. 25)
Inequivalent atoms, fractional coordinates:
Sr 0.0000 0.0000 0.0000 (multiplicity 1)
Mo 0.5000 0.5000 0.6701 (multiplicity 1)
Cl 0.0000 0.0000 0.5042 (multiplicity 1)
Cl 0.5000 0.5000 0.1130 (multiplicity 1)



[7]
The following is a GGA-PBE calculation of SrMo2Cl after structural relaxation, from Alexandria via LeMat-Bulk.

Computed properties:
* E_tot: -21.0 eV per formula unit
* total moment: 0.0 μB per cell
* ΔE_f (raw): 1.049 eV per atom

Unit cell a=3.4587 b=4.6948 c=9.6320 alpha=90.00 beta=90.00 gamma=90.00
Space group Cmmm (No. 65)
Inequivalent atoms, fractional coordinates:
Sr 0.0000 0.0000 0.0000 (multiplicity 2)
Mo 0.0000 0.5000 0.2884 (multiplicity 4)
Cl 0.0000 0.0000 0.5000 (multiplicity 2)



[8]
The following is a GGA-PBE calculation of SrMo2Cl after structural relaxation, from Alexandria via LeMat-Bulk.

Computed properties:
* E_tot: -23.9 eV per formula unit
* total moment: 0.4 μB per cell
* ΔE_f (raw): 0.314 eV per atom

Unit cell a=3.3475 b=4.1966 c=6.9008 alpha=90.00 beta=90.00 gamma=90.00
Space group Pmmm (No. 47)
Inequivalent atoms, fractional coordinates:
Sr 0.0000 0.0000 0.0000 (multiplicity 1)
Mo 0.0000 0.5000 0.5000 (multiplicity 1)
Mo 0.5000 0.0000 0.5000 (multiplicity 1)
Cl 0.5000 0.5000 0.0000 (multiplicity 1)



[9]
The following is a GGA-PBE calculation of SrMo2Cl after structural relaxation, from Alexandria via LeMat-Bulk.

Computed properties:
* E_tot: -23.9 eV per formula unit
* total moment: 0.0 μB per cell
* ΔE_f (raw): 0.335 eV per atom

Unit cell a=3.2781 b=4.2099 c=13.4915 alpha=90.00 beta=90.00 gamma=90.00
Space group Immm (No. 71)
Inequivalent atoms, fractional coordinates:
Sr 0.0000 0.0000 0.0000 (multiplicity 2)
Mo 0.0000 0.5000 0.2396 (multiplicity 4)
Cl 0.0000 0.0000 0.5000 (multiplicity 2)



[10]
The following is a GGA-PBE calculation of SrMoCl2 after structural relaxation, from Alexandria via LeMat-Bulk.

Computed properties:
* E_tot: -17.5 eV per formula unit
* total moment: 10.1 μB per cell
* ΔE_f (raw): -0.323 eV per atom

Unit cell a=5.0560 b=5.0641 c=10.7805 alpha=90.00 beta=90.00 gamma=90.00
Space group Cmmm (No. 65)
Inequivalent atoms, fractional coordinates:
Sr 0.0000 0.0000 0.0000 (multiplicity 2)
Mo 0.0000 0.0000 0.5000 (multiplicity 2)
Cl 0.0000 0.5000 0.1508 (multiplicity 4)



[11]
The following is a GGA-PBE calculation of SrMoCl2 after structural relaxation, from Alexandria via LeMat-Bulk.

Computed properties:
* E_tot: -16.6 eV per formula unit
* total moment: 4.4 μB per cell
* ΔE_f (raw): -0.109 eV per atom

Unit cell a=3.8668 b=3.8668 c=25.6263 alpha=90.00 beta=90.00 gamma=120.00
Space group R-3m (No. 166, hexagonal axes)
Inequivalent atoms, fractional coordinates:
Sr 0.0000 0.0000 0.0000 (multiplicity 3)
Mo 0.0000 0.0000 0.5000 (multiplicity 3)
Cl 0.0000 0.0000 0.1181 (multiplicity 6)



[12]
The following is a GGA-PBE calculation of SrMoCl2 after structural relaxation, from Alexandria via LeMat-Bulk.

Computed properties:
* E_tot: -17.4 eV per formula unit
* total moment: 3.6 μB per cell
* ΔE_f (raw): -0.300 eV per atom

Unit cell a=3.5959 b=4.4456 c=6.3112 alpha=90.00 beta=90.00 gamma=90.00
Space group Pmmm (No. 47)
Inequivalent atoms, fractional coordinates:
Sr 0.0000 0.0000 0.0000 (multiplicity 1)
Mo 0.5000 0.0000 0.5000 (multiplicity 1)
Cl 0.0000 0.5000 0.5000 (multiplicity 1)
Cl 0.5000 0.5000 0.0000 (multiplicity 1)



[13]
The following is a GGA-PBE calculation of SrMo2Cl after structural relaxation, from Alexandria via LeMat-Bulk.

Computed properties:
* E_tot: -24.3 eV per formula unit
* total moment: 0.0 μB per cell
* ΔE_f (raw): 0.219 eV per atom

Unit cell a=3.3627 b=6.5403 c=4.5043 alpha=90.00 beta=90.14 gamma=90.00
Space group P2/m (No. 10)
Inequivalent atoms, fractional coordinates:
Sr 0.0000 0.0000 0.0000 (multiplicity 1)
Mo 0.2573 0.5000 0.1844 (multiplicity 2)
Cl 0.5000 0.0000 0.5000 (multiplicity 1)



[14]
The following is a GGA-PBE calculation of SrMo3Cl after structural relaxation, from Alexandria via LeMat-Bulk.

Computed properties:
* E_tot: -30.4 eV per formula unit
* total moment: 0.0 μB per cell
* ΔE_f (raw): 1.119 eV per atom

Unit cell a=4.6142 b=4.6142 c=4.6142 alpha=90.00 beta=90.00 gamma=90.00
Space group Pm-3m (No. 221)
Inequivalent atoms, fractional coordinates:
Sr 0.0000 0.0000 0.0000 (multiplicity 1)
Mo 0.0000 0.5000 0.5000 (multiplicity 3)
Cl 0.5000 0.5000 0.5000 (multiplicity 1)



[15]
The following is a GGA-PBE calculation of SrMoCl2 after structural relaxation, from Alexandria via LeMat-Bulk.

Computed properties:
* E_tot: -16.2 eV per formula unit
* total moment: 24.0 μB per cell
* ΔE_f (raw): -0.006 eV per atom

Unit cell a=7.6051 b=7.6051 c=7.6051 alpha=90.00 beta=90.00 gamma=90.00
Space group F-43m (No. 216)
Inequivalent atoms, fractional coordinates:
Sr 0.0000 0.0000 0.0000 (multiplicity 4)
Mo 0.2500 0.2500 0.7500 (multiplicity 4)
Cl 0.0000 0.0000 0.5000 (multiplicity 4)
Cl 0.2500 0.2500 0.2500 (multiplicity 4)